The following is a DFT calculation (PBE+U) of crystalline Na5Cr2F12 at its relaxed geometry. Values from VASP.

## Properties
* space group: No. 12
* uncorrected energy: -4.9011 eV per atom
* DOS(E_F): 0.645 states/eV per atom
* theoretical density: 2.8 g/cm3

Geometry as Quantum ESPRESSO input:
```
&SYSTEM
  ibrav = 0, nat = 19, ntyp = 3
/
ATOMIC_SPECIES
Na 22.99 Na.upf
Cr 52.00 Cr.upf
F 19.00 F.upf
CELL_PARAMETERS angstrom
6.4442 -2.9805 0.0000
6.4442 2.9805 0.0000
-2.1207 0.0000 6.9512
ATOMIC_POSITIONS angstrom
Na 0.0000 0.0000 0.0000
Na 3.5046 0.0000 0.8973
Na 2.4319 0.0000 4.6493
Na 8.3357 0.0000 2.3019
Na 7.2630 0.0000 6.0539
Cr 5.3838 1.4918 3.4756
Cr 5.3838 -1.4918 3.4756
F -1.4172 0.0000 4.7097
F 2.5724 1.4795 6.4531
F 3.5574 1.4356 2.9491
F 8.1952 1.4795 0.4981
F 7.2102 1.4356 4.0022
F 5.7478 0.0000 2.2300
F 5.0198 0.0000 4.7212
F 3.5574 -1.4356 2.9491
F 2.5724 -1.4795 6.4531
F 7.2102 -1.4356 4.0022
F 8.1952 -1.4795 0.4981
F 12.1849 0.0000 2.2415
```